[1]
## Ba3Hg4Pb4 (PBE)

Data for an optimized crystal structure of Ba3Hg4Pb4.

a b c (Å): 4.8215 5.1264 15.8928
angles (deg): 99.22 98.56 90.01
Closest atoms and distances in Å follow each position.
Space group P-1 (No. 2)
One atom of each set of equivalent atoms:
Ba  0.0000  0.0000  0.0000 (multiplicity 1)  4 Pb 3.63-3.94, 8 Hg 3.67-3.94
Ba  0.1516  0.6455  0.2911 (multiplicity 2)  6 Hg 3.69-4.06, 6 Pb 3.75-4.00
Hg  0.3268  0.8120  0.6244 (multiplicity 2)  5 Pb 2.93-3.17
Hg  0.4978  0.4538  0.9068 (multiplicity 2)  1 Hg 2.92, 2 Pb 2.99
Pb  0.2436  0.2525  0.5042 (multiplicity 2)  4 Hg 3.10-3.17, 2 Pb 3.46-3.47
Pb  0.3585  0.9068  0.8124 (multiplicity 2)  3 Hg 2.93-2.99

Total magnetization   0.0000 μB per atom
Volume   383.3 Å³/f.u.
DOS at the Fermi energy   0.567 states/eV/atom
E_tot   -26.2 eV/cell
DFT formation energy   -39 kJ/mol of atoms

---

[2]
## Ba3Hg2Pb2 (PBE)

Data for an optimized crystal structure of Ba3Hg2Pb2.

a b c (Å): 12.8173 5.3708 8.2725
angles (deg): 90.00 108.09 90.00
Closest atoms and distances in Å follow each position.
Space group C2/m (No. 12)
One atom of each set of equivalent atoms:
Ba  0.0000  0.0000  0.0000 (multiplicity 2)  4 Pb 3.77, 6 Hg 3.80-3.81
Ba  0.1668  0.0000  0.6319 (multiplicity 4)  3 Hg 3.51-3.59, 5 Pb 3.66-3.85
Hg  0.1928  0.5000  0.9299 (multiplicity 4)  2 Hg 3.11, 1 Pb 3.11
Pb  0.0404  0.5000  0.3344 (multiplicity 4)  1 Hg 3.11, 1 Pb 3.22

Total magnetization   0.0000 μB per atom
Volume   270.7 Å³/f.u.
DOS at the Fermi energy   0.433 states/eV/atom
E_tot   -35.0 eV/cell
DFT formation energy   -51 kJ/mol of atoms

---

[3]
## BaHgPb (PBE)

Data for an optimized crystal structure of BaHgPb.

a b c (Å): 5.1494 5.1494 4.7448
angles (deg): 90.00 90.00 120.00
Closest atoms and distances in Å follow each position.
Space group P3m1 (No. 156)
One atom of each set of equivalent atoms:
Ba  0.0000  0.0000  0.0000 (multiplicity 1)  6 Hg 3.64-3.97, 6 Pb 3.70-3.91
Hg  0.6667  0.3333  0.4440 (multiplicity 1)  3 Pb 3.01
Pb  0.3333  0.6667  0.5365 (multiplicity 1)  3 Hg 3.01

Total magnetization   0.0000 μB per atom
Volume   109.0 Å³/f.u.
DOS at the Fermi energy   0.712 states/eV/atom
E_tot   -7.3 eV/cell
DFT formation energy   -44 kJ/mol of atoms

---

[4]
## Ba3HgPb3 (PBE)

Data for an optimized crystal structure of Ba3HgPb3.

a b c (Å): 12.6357 5.3865 17.1789
angles (deg): 90.00 111.04 90.00
Closest atoms and distances in Å follow each position.
Space group C2/m (No. 12)
One atom of each set of equivalent atoms:
Ba  0.0463  0.0000  0.3851 (multiplicity 4)  5 Pb 3.59-3.75, 4 Hg 3.69-3.84
Ba  0.0962  0.0000  0.9226 (multiplicity 4)  7 Pb 3.63-3.80
Ba  0.2431  0.0000  0.2302 (multiplicity 4)  6 Pb 3.68-3.80, 2 Hg 3.76
Hg  0.2457  0.0000  0.6144 (multiplicity 4)  4 Pb 3.09-3.37
Pb  0.0341  0.5000  0.2304 (multiplicity 4)  1 Hg 3.09, 1 Pb 3.17
Pb  0.1157  0.5000  0.0763 (multiplicity 4)  2 Pb 3.15-3.17
Pb  0.1361  0.5000  0.5328 (multiplicity 4)  3 Hg 3.12-3.37, 1 Pb 3.21

Total magnetization   0.0000 μB per atom
Volume   272.8 Å³/f.u.
DOS at the Fermi energy   0.196 states/eV/atom
E_tot   -84.1 eV/cell
DFT formation energy   -53 kJ/mol of atoms

---

[5]
## BaHg6Pb4 (PBE)

Data for an optimized crystal structure of BaHg6Pb4.

a b c (Å): 8.3708 8.3708 10.8579
angles (deg): 90.00 90.00 90.00
Closest atoms and distances in Å follow each position.
Space group I-42m (No. 121)
One atom of each set of equivalent atoms:
Ba  0.0000  0.0000  0.0000 (multiplicity 2)  4 Hg 3.61, 4 Pb 3.82
Hg  0.0000  0.5000  0.0000 (multiplicity 4)  4 Pb 3.18
Hg  0.1531  0.1531  0.2872 (multiplicity 8)  4 Pb 2.96-3.19
Pb  0.1852  0.1852  0.5792 (multiplicity 8)  6 Hg 2.96-3.19

Total magnetization   0.0000 μB per atom
Volume   380.4 Å³/f.u.
DOS at the Fermi energy   0.454 states/eV/atom
E_tot   -37.8 eV/cell
DFT formation energy   -3 kJ/mol of atoms

---

[6]
## Ba2Hg9Pb3 (PBE)

Data for an optimized crystal structure of Ba2Hg9Pb3.

a b c (Å): 15.9477 9.2305 11.4145
angles (deg): 90.00 90.00 90.00
Closest atoms and distances in Å follow each position.
Space group Cmcm (No. 63)
One atom of each set of equivalent atoms:
Ba  0.1586  0.1637  0.2500 (multiplicity 8)  8 Hg 3.57-3.86
Hg  0.0000  0.1528  0.7500 (multiplicity 4)  6 Hg 3.13-3.24, 2 Pb 3.18
Hg  0.0000  0.3353  0.0635 (multiplicity 8)  3 Pb 3.18-3.35, 5 Hg 3.25-3.55
Hg  0.0982  0.4597  0.7500 (multiplicity 8)  6 Hg 3.13-3.29, 2 Pb 3.17
Hg  0.1647  0.1768  0.6021 (multiplicity 16)  3 Hg 3.13-3.38, 3 Pb 3.17-3.31
Pb  0.0000  0.0000  0.0000 (multiplicity 4)  8 Hg 3.18-3.31
Pb  0.1815  0.5000  0.0000 (multiplicity 8)  8 Hg 3.17-3.35

Total magnetization   0.0000 μB per atom
Volume   420.1 Å³/f.u.
DOS at the Fermi energy   0.370 states/eV/atom
E_tot   -84.3 eV/cell
DFT formation energy   -23 kJ/mol of atoms

---

[7]
## BaHg4Pb2 (PBE)

Data for an optimized crystal structure of BaHg4Pb2.

a b c (Å): 8.9657 8.9657 6.7975
angles (deg): 90.00 90.00 90.00
Closest atoms and distances in Å follow each position.
Space group I4/mmm (No. 139)
One atom of each set of equivalent atoms:
Ba  0.0000  0.0000  0.0000 (multiplicity 2)  8 Hg 3.96
Hg  0.0000  0.2277  0.5000 (multiplicity 8)  2 Hg 2.89, 2 Pb 2.97
Pb  0.0000  0.5000  0.2500 (multiplicity 4)  4 Hg 2.97

Total magnetization   0.0000 μB per atom
Energy relative to the lowest polymorph listed for this composition   0.1803 eV/atom
Volume   273.2 Å³/f.u.
DOS at the Fermi energy   0.484 states/eV/atom
E_tot   -21.8 eV/cell
DFT formation energy   -5 kJ/mol of atoms

---

[8]
## BaHg5Pb2 (PBE)

Data for an optimized crystal structure of BaHg5Pb2.

a b c (Å): 8.4237 8.4237 13.8678
angles (deg): 90.00 90.00 90.00
Closest atoms and distances in Å follow each position.
Space group I4/mcm (No. 140)
One atom of each set of equivalent atoms:
Ba  0.0000  0.0000  0.2500 (multiplicity 4)  10 Hg 3.47-3.51
Hg  0.0000  0.0000  0.0000 (multiplicity 4)  4 Pb 3.16, 2 Ba 3.47
Hg  0.1337  0.3663  0.1604 (multiplicity 16)  3 Hg 3.19-3.36, 3 Pb 3.31-3.34, 2 Ba 3.51
Pb  0.1604  0.3396  0.5000 (multiplicity 8)  8 Hg 3.16-3.34

Total magnetization   0.0000 μB per atom
Energy relative to the lowest polymorph listed for this composition   0.0000 eV/atom
Volume   246.0 Å³/f.u.
DOS at the Fermi energy   0.672 states/eV/atom
E_tot   -48.7 eV/cell
DFT formation energy   -16 kJ/mol of atoms

---

[9]
## BaHg2Pb6 (PBE)

Data for an optimized crystal structure of BaHg2Pb6.

a b c (Å): 5.0057 5.0057 11.7041
angles (deg): 90.00 90.00 90.00
Closest atoms and distances in Å follow each position.
Space group P4/mmm (No. 123)
One atom of each set of equivalent atoms:
Ba  0.0000  0.0000  0.0000 (multiplicity 1)  8 Hg 3.82, 8 Pb 4.22
Hg  0.5000  0.5000  0.1227 (multiplicity 2)  1 Hg 2.87, 4 Pb 3.18
Pb  0.0000  0.0000  0.5000 (multiplicity 1)  12 Pb 3.51-3.54
Pb  0.0000  0.5000  0.2901 (multiplicity 4)  2 Hg 3.18, 8 Pb 3.51-3.54
Pb  0.5000  0.5000  0.5000 (multiplicity 1)  12 Pb 3.51-3.54

Total magnetization   0.0000 μB per atom
Volume   293.3 Å³/f.u.
DOS at the Fermi energy   0.413 states/eV/atom
E_tot   -26.3 eV/cell
DFT formation energy   -16 kJ/mol of atoms

---

[10]
## Ba2Hg8Pb (PBE)

Data for an optimized crystal structure of Ba2Hg8Pb.

a b c (Å): 8.9133 17.4515 5.4560
angles (deg): 90.00 126.40 90.00
Closest atoms and distances in Å follow each position.
Space group C2/m (No. 12)
One atom of each set of equivalent atoms:
Ba  0.0000  0.1850  0.0000 (multiplicity 4)  12 Hg 3.49-3.69
Hg  0.0000  0.3095  0.5000 (multiplicity 4)  4 Hg 3.16-3.51, 1 Pb 3.32, 2 Ba 3.49
Hg  0.0902  0.0000  0.8413 (multiplicity 4)  4 Hg 2.98-3.06, 1 Pb 3.27
Hg  0.2109  0.3769  0.2438 (multiplicity 8)  3 Hg 2.99-3.16
Pb  0.0000  0.5000  0.5000 (multiplicity 2)  8 Hg 3.27-3.64

Total magnetization   0.0000 μB per atom
Volume   341.5 Å³/f.u.
DOS at the Fermi energy   0.557 states/eV/atom
E_tot   -26.3 eV/cell
DFT formation energy   -28 kJ/mol of atoms

---

[11]
## Ba2HgPb (PBE)

Data for an optimized crystal structure of Ba2HgPb.

a b c (Å): 8.4216 8.4216 8.4216
angles (deg): 90.00 90.00 90.00
Closest atoms and distances in Å follow each position.
Space group F-43m (No. 216)
One atom of each set of equivalent atoms:
Ba  0.0000  0.0000  0.0000 (multiplicity 4)  4 Ba 3.65, 4 Pb 3.65
Ba  0.2500  0.2500  0.2500 (multiplicity 4)  4 Hg 3.65, 4 Ba 3.65
Hg  0.0000  0.0000  0.5000 (multiplicity 4)  4 Ba 3.65, 4 Pb 3.65
Pb  0.2500  0.2500  0.7500 (multiplicity 4)  4 Hg 3.65, 4 Ba 3.65

Total magnetization   0.0000 μB per atom
Energy relative to the lowest polymorph listed for this composition   0.3216 eV/atom
Volume   149.3 Å³/f.u.
DOS at the Fermi energy   0.606 states/eV/atom
E_tot   -35.8 eV/cell
DFT formation energy   -26 kJ/mol of atoms

---

[12]
## BaHg4Pb2 (PBE)

Data for an optimized crystal structure of BaHg4Pb2.

a b c (Å): 7.4988 6.0338 10.2481
angles (deg): 90.00 111.42 90.00
Closest atoms and distances in Å follow each position.
Space group P2_1/m (No. 11)
One atom of each set of equivalent atoms:
Ba  0.2462  0.2500  0.9996 (multiplicity 2)  10 Hg 3.46-3.63
Hg  0.0459  0.7500  0.8039 (multiplicity 2)  2 Hg 3.15, 1 Pb 3.24, 1 Ba 3.48
Hg  0.2414  0.7500  0.1930 (multiplicity 2)  2 Hg 3.15, 1 Pb 3.25, 1 Ba 3.46
Hg  0.3641  0.0000  0.7283 (multiplicity 4)  4 Hg 3.02-3.15, 2 Pb 3.35-3.36
Pb  0.0594  0.7500  0.4358 (multiplicity 2)  5 Hg 3.25-3.39, 2 Pb 3.53
Pb  0.3785  0.2500  0.4365 (multiplicity 2)  5 Hg 3.24-3.39, 2 Pb 3.52

Total magnetization   0.0000 μB per atom
Energy relative to the lowest polymorph listed for this composition   0.0000 eV/atom
Volume   215.8 Å³/f.u.
DOS at the Fermi energy   0.405 states/eV/atom
E_tot   -24.4 eV/cell
DFT formation energy   -22 kJ/mol of atoms

---

Which of these has the highest DFT formation energy?
BaHg6Pb4